(1)
The following is a DFT calculation (PBEsol) of a relaxed FeOsRu2 crystal.

Calculated values
Energy relative to the elements = 0.349 eV/atom

Unit cell a=2.799 b=4.268 c=8.751 alpha=90.00 beta=90.00 gamma=90.00
Space group Immm (No. 71)
Inequivalent atoms, fractional coordinates:
Fe 0.000 0.000 0.000 x2
Os 0.000 0.000 0.500 x2
Ru 0.000 0.500 0.275 x4

=====

(2)
The following is a DFT calculation (PBEsol) of a relaxed CsY3Br crystal.

Calculated values
Raw formation energy = 0.170 eV/atom

Unit cell a=5.551 b=5.551 c=5.551 alpha=90.00 beta=90.00 gamma=90.00
Space group Pm-3m (No. 221)
Inequivalent atoms, fractional coordinates:
Cs 0.000 0.000 0.000 x1
Y 0.000 0.500 0.500 x3
Br 0.500 0.500 0.500 x1

=====

(3)
The following is a DFT calculation (PBEsol) of a relaxed HgRhPb2 crystal.

Calculated values
Energy relative to the elements = 0.005 eV/atom

Unit cell a=3.293 b=3.293 c=8.468 alpha=90.00 beta=90.00 gamma=90.00
Space group P4/mmm (No. 123)
Inequivalent atoms, fractional coordinates:
Hg 0.000 0.000 0.000 x1
Rh 0.000 0.000 0.500 x1
Pb 0.500 0.500 0.299 x2

=====

(4)
The following is a DFT calculation (PBEsol) of a relaxed SrBe2SiRh crystal.

Calculated values
Raw formation energy = 0.825 eV/atom

Unit cell a=4.150 b=4.150 c=5.707 alpha=90.00 beta=90.00 gamma=90.00
Space group P4/mmm (No. 123)
Inequivalent atoms, fractional coordinates:
Sr 0.000 0.000 0.000 x1
Be 0.000 0.500 0.500 x2
Si 0.000 0.000 0.500 x1
Rh 0.500 0.500 0.000 x1

=====

(5)
The following is a DFT calculation (PBEsol) of a relaxed Li2CaCd crystal.

Calculated values
Energy relative to the elements = -0.090 eV/atom
Energy relative to the lowest polymorph listed for this composition = 0.27 eV per formula unit

Unit cell a=3.502 b=5.085 c=5.510 alpha=90.00 beta=96.00 gamma=90.00
Space group P2/m (No. 10)
Inequivalent atoms, fractional coordinates:
Li 0.197 0.000 0.291 x2
Ca 0.500 0.500 0.000 x1
Cd 0.000 0.500 0.500 x1

=====

(6)
The following is a DFT calculation (PBEsol) of a relaxed DySI crystal.

Calculated values
Raw formation energy = -1.804 eV/atom

Unit cell a=4.110 b=5.300 c=9.365 alpha=90.00 beta=90.00 gamma=90.00
Space group Pmmn (No. 59, origin choice 2)
Inequivalent atoms, fractional coordinates:
Dy 0.250 0.250 0.118 x2
S 0.250 0.750 0.070 x2
I 0.250 0.750 0.647 x2

=====

(7)
The following is a DFT calculation (PBEsol) of a relaxed Sr2ScTc crystal.

Calculated values
Energy relative to the elements = 0.888 eV/atom
Energy relative to the lowest polymorph listed for this composition = 2.34 eV per formula unit

Unit cell a=3.397 b=4.852 c=6.488 alpha=90.00 beta=90.00 gamma=90.00
Space group Pmmm (No. 47)
Inequivalent atoms, fractional coordinates:
Sr 0.000 0.000 0.229 x2
Sc 0.500 0.500 0.500 x1
Tc 0.500 0.500 0.000 x1

=====

(8)
The following is a DFT calculation (PBEsol) of a relaxed SrSc2Cl crystal.

Calculated values
Raw formation energy = -0.444 eV/atom
Energy relative to the lowest polymorph listed for this composition = 0.00 eV per formula unit

Unit cell a=3.254 b=5.300 c=11.527 alpha=90.00 beta=90.00 gamma=90.00
Space group Immm (No. 71)
Inequivalent atoms, fractional coordinates:
Sr 0.000 0.000 0.000 x2
Sc 0.000 0.500 0.210 x4
Cl 0.000 0.000 0.500 x2

=====

(9)
The following is a DFT calculation (PBEsol) of a relaxed BaCr2Mo crystal.

Calculated values
Energy relative to the elements = 0.853 eV/atom
Energy relative to the lowest polymorph listed for this composition = 0.00 eV per formula unit

Unit cell a=7.723 b=3.674 c=6.637 alpha=90.00 beta=111.24 gamma=90.00
Space group Cm (No. 8)
Inequivalent atoms, fractional coordinates:
Ba 0.000 0.000 0.000 x2
Cr 0.029 0.500 0.548 x2
Cr 0.197 0.000 0.579 x2
Mo 0.323 0.500 0.425 x2

=====

(10)
The following is a DFT calculation (PBEsol) of a relaxed SbTe8Cl6O6F31 crystal.

Calculated values
Raw formation energy = -1.690 eV/atom

Unit cell a=9.061 b=10.272 c=10.612 alpha=81.93 beta=85.26 gamma=75.07
Space group P-1 (No. 2)
Inequivalent atoms, fractional coordinates:
Sb 0.000 0.000 0.000 x1
Te 0.172 0.971 0.299 x2
Te 0.233 0.210 0.838 x2
Te 0.292 0.729 0.885 x2
Te 0.336 0.491 0.359 x2
Cl 0.154 0.583 0.507 x2
Cl 0.161 0.459 0.224 x2
Cl 0.393 0.268 0.445 x2
O 0.052 0.157 0.891 x2
O 0.081 0.056 0.146 x2
O 0.207 0.882 0.968 x2
F 0.007 0.072 0.628 x2
F 0.115 0.138 0.362 x2
F 0.121 0.657 0.910 x2
F 0.133 0.315 0.697 x2
F 0.172 0.359 0.929 x2
F 0.228 0.812 0.725 x2
F 0.236 0.796 0.248 x2
F 0.263 0.895 0.452 x2
F 0.307 0.068 0.740 x2
F 0.347 0.110 0.973 x2
F 0.358 0.004 0.239 x2
F 0.368 0.627 0.036 x2
F 0.391 0.576 0.803 x2
F 0.404 0.275 0.777 x2
F 0.474 0.782 0.854 x2
F 0.500 0.500 0.500 x1

=====

(11)
The following is a DFT calculation (PBEsol) of a relaxed AlZnP2 crystal.

Calculated values
Energy relative to the elements = 0.213 eV/atom
Energy relative to the lowest polymorph listed for this composition = 1.26 eV per formula unit

Unit cell a=2.964 b=2.964 c=6.741 alpha=90.00 beta=90.00 gamma=90.00
Space group P4/mmm (No. 123)
Inequivalent atoms, fractional coordinates:
Al 0.000 0.000 0.000 x1
Zn 0.000 0.000 0.500 x1
P 0.500 0.500 0.242 x2

=====

(12)
The following is a DFT calculation (PBEsol) of a relaxed ZrBe8 crystal.

Calculated values
Energy relative to the elements = 0.127 eV/atom

Unit cell a=7.233 b=7.233 c=3.454 alpha=90.00 beta=90.00 gamma=90.00
Space group I4/mmm (No. 139)
Inequivalent atoms, fractional coordinates:
Zr 0.000 0.000 0.000 x2
Be 0.000 0.352 0.000 x8
Be 0.193 0.193 0.500 x8

=====

(13)
The following is a DFT calculation (PBEsol) of a relaxed KAgAu4 crystal.

Calculated values
Energy relative to the elements = -0.081 eV/atom

Unit cell a=7.791 b=7.791 c=7.791 alpha=90.00 beta=90.00 gamma=90.00
Space group F-43m (No. 216)
Inequivalent atoms, fractional coordinates:
K 0.000 0.000 0.000 x4
Ag 0.250 0.250 0.250 x4
Au 0.125 0.125 0.625 x16

=====

(14)
The following is a DFT calculation (PBEsol) of a relaxed FeBP3 crystal.

Calculated values
Energy relative to the elements = 1.194 eV/atom

Unit cell a=4.219 b=4.219 c=4.219 alpha=90.00 beta=90.00 gamma=90.00
Space group Pm-3m (No. 221)
Inequivalent atoms, fractional coordinates:
Fe 0.000 0.000 0.000 x1
B 0.500 0.500 0.500 x1
P 0.000 0.000 0.500 x3

=====

(15)
The following is a DFT calculation (PBEsol) of a relaxed Sc3As crystal.

Calculated values
Energy relative to the elements = -0.364 eV/atom

Unit cell a=5.939 b=8.669 c=3.143 alpha=90.00 beta=90.00 gamma=90.00
Space group Cmmm (No. 65)
Inequivalent atoms, fractional coordinates:
Sc 0.000 0.000 0.000 x2
Sc 0.250 0.250 0.500 x4
As 0.000 0.500 0.000 x2

=====

(16)
The following is a DFT calculation (PBEsol) of a relaxed Na2ZnHgP crystal.

Calculated values
Energy relative to the elements = 0.335 eV/atom

Unit cell a=5.723 b=5.723 c=4.816 alpha=90.00 beta=90.00 gamma=90.00
Space group P4/mmm (No. 123)
Inequivalent atoms, fractional coordinates:
Na 0.000 0.500 0.000 x2
Zn 0.000 0.000 0.500 x1
Hg 0.500 0.500 0.000 x1
P 0.500 0.500 0.500 x1

=====

(17)
The following is a DFT calculation (PBEsol) of a relaxed MnIr4Se crystal.

Calculated values
Raw formation energy = 0.691 eV/atom

Unit cell a=7.280 b=7.280 c=7.280 alpha=90.00 beta=90.00 gamma=90.00
Space group F-43m (No. 216)
Inequivalent atoms, fractional coordinates:
Mn 0.000 0.000 0.000 x4
Ir 0.125 0.125 0.625 x16
Se 0.250 0.250 0.250 x4

=====

(18)
The following is a DFT calculation (PBEsol) of a relaxed BeCrIr2 crystal.

Calculated values
Energy relative to the elements = -0.399 eV/atom

Unit cell a=2.733 b=2.733 c=6.258 alpha=90.00 beta=90.00 gamma=90.00
Space group P4/mmm (No. 123)
Inequivalent atoms, fractional coordinates:
Be 0.000 0.000 0.000 x1
Cr 0.000 0.000 0.500 x1
Ir 0.500 0.500 0.228 x2

=====

(19)
The following is a DFT calculation (PBEsol) of a relaxed ReAu2Cl crystal.

Calculated values
Raw formation energy = 0.742 eV/atom

Unit cell a=5.286 b=9.033 c=2.743 alpha=90.00 beta=90.00 gamma=90.00
Space group Cmmm (No. 65)
Inequivalent atoms, fractional coordinates:
Re 0.000 0.000 0.000 x2
Au 0.250 0.250 0.500 x4
Cl 0.000 0.500 0.000 x2

=====

(20)
The following is a DFT calculation (PBEsol) of a relaxed SiAgSCl2 crystal.

Calculated values
Raw formation energy = -0.129 eV/atom

Unit cell a=4.665 b=4.665 c=4.554 alpha=90.00 beta=90.00 gamma=90.00
Space group P4/mmm (No. 123)
Inequivalent atoms, fractional coordinates:
Si 0.000 0.000 0.000 x1
Ag 0.500 0.500 0.500 x1
S 0.000 0.000 0.500 x1
Cl 0.000 0.500 0.000 x2

=====

Looking at density of states at the Fermi level for the records above, in order, we have 1.02; 2.05; 0.48; 0.71; 0.64; 0.00; 1.25; 0.84; 1.11; 0.00; 0.45; 0.41; 0.25; 0.85; 1.20; 0.41; 1.01; 0.67; 0.95; 0.12 states/eV per atom.
Looking at energy for the records above, in order, we have -80.25; -22.43; -16.68; -19.60; -7.62; -33.08; -18.00; -37.67; -61.97; -223.93; -16.40; -79.89; -82.52; -27.38; -52.76; -9.06; -195.04; -35.48; -40.44; -18.10 eV per cell.